# 1
This record from the Alexandria database describes crystalline ErGaTcGe at its relaxed geometry. The functional is GGA-PBE. Values from VASP.

The structure in Quantum ESPRESSO input format:
```
&SYSTEM
  ibrav = 0, nat = 4, ntyp = 4
/
ATOMIC_SPECIES
Ge 72.64 Ge.upf
Tc 98.00 Tc.upf
Ga 69.72 Ga.upf
Er 167.26 Er.upf
ATOMIC_POSITIONS crystal
Ge 0.500 0.500 0.500
Tc 0.750 0.750 0.750
Ga 0.000 0.000 0.000
Er 0.250 0.250 0.250
CELL_PARAMETERS angstrom
4.611 0.000 0.000
2.306 3.993 0.000
2.306 1.331 3.765
```

Properties
**Formation enthalpy at 0 K**: -0.28 eV per atom
**DFT total energy**: -5.93 eV per atom
**Total magnetic moment**: 0.000 μB/atom

=====

# 2
This record from the Alexandria database describes crystalline Er4GaGeTe2 at its relaxed geometry. The functional is GGA-PBE. Values from VASP.

The structure in Quantum ESPRESSO input format:
```
&SYSTEM
  ibrav = 0, nat = 8, ntyp = 4
/
ATOMIC_SPECIES
Er 167.26 Er.upf
Ga 69.72 Ga.upf
Ge 72.64 Ge.upf
Te 127.60 Te.upf
ATOMIC_POSITIONS crystal
Er 0.500 0.238 0.223
Er 0.500 0.762 0.777
Er 0.000 0.256 0.771
Er 0.000 0.744 0.229
Ga 0.500 0.500 0.000
Ge 0.000 0.000 0.000
Te 0.500 0.000 0.500
Te 0.000 0.500 0.500
CELL_PARAMETERS angstrom
4.175 0.000 0.000
0.000 7.148 0.101
0.000 -2.525 7.174
```

Properties
**DFT total energy**: -5.03 eV per atom
**Total magnetic moment**: 0.000 μB/atom

=====

# 3
This record from the Alexandria database describes crystalline Er8GaGe3Te4 at its relaxed geometry. The functional is GGA-PBE. Values from VASP.

The structure in Quantum ESPRESSO input format:
```
&SYSTEM
  ibrav = 0, nat = 16, ntyp = 4
/
ATOMIC_SPECIES
Er 167.26 Er.upf
Ga 69.72 Ga.upf
Ge 72.64 Ge.upf
Te 127.60 Te.upf
ATOMIC_POSITIONS crystal
Er 0.242 0.723 0.981
Er 0.242 0.723 0.485
Er 0.261 0.283 0.522
Er 0.739 0.723 0.981
Er 0.261 0.277 0.019
Er 0.739 0.717 0.478
Er 0.758 0.277 0.515
Er 0.758 0.277 0.019
Ga 0.000 0.500 0.000
Ge 0.500 0.500 0.000
Ge 0.500 0.500 0.500
Ge 0.000 0.500 0.500
Te 0.500 0.000 0.000
Te 0.500 0.000 0.500
Te 0.000 0.000 0.000
Te 0.000 0.000 0.500
CELL_PARAMETERS angstrom
-2.990 5.164 -5.887
2.514 -5.492 -6.094
-5.022 -2.713 6.139
```

Properties
**DFT total energy**: -5.20 eV per atom
**Total magnetic moment**: 0.000 μB/atom

=====

# 4
This record from the Alexandria database describes crystalline ErThGaGe at its relaxed geometry. The functional is GGA-PBE. Values from VASP.

The structure in Quantum ESPRESSO input format:
```
&SYSTEM
  ibrav = 0, nat = 4, ntyp = 4
/
ATOMIC_SPECIES
Er 167.26 Er.upf
Th 232.04 Th.upf
Ga 69.72 Ga.upf
Ge 72.64 Ge.upf
ATOMIC_POSITIONS crystal
Er 0.861 0.500 0.722
Th 0.141 0.000 0.283
Ga 0.577 0.500 0.155
Ge 0.420 0.000 0.840
CELL_PARAMETERS angstrom
-2.889 -2.945 1.436
2.299 -0.653 3.287
-1.257 5.426 1.956
```

Properties
**Formation enthalpy at 0 K**: -0.68 eV per atom
**DFT total energy**: -5.59 eV per atom
**Total magnetic moment**: 0.000 μB/atom

=====

# 5
This record from the Alexandria database describes crystalline Er2GaH at its relaxed geometry. The functional is GGA-PBE. Values from VASP.

The structure in Quantum ESPRESSO input format:
```
&SYSTEM
  ibrav = 0, nat = 8, ntyp = 3
/
ATOMIC_SPECIES
Er 167.26 Er.upf
Ga 69.72 Ga.upf
H 1.01 H.upf
ATOMIC_POSITIONS crystal
Er 0.330 0.030 0.236
Er 0.026 0.476 0.627
Er 0.635 0.084 0.844
Er 0.331 0.529 0.235
Ga 0.692 0.641 0.959
Ga 0.969 0.918 0.512
H 0.225 0.174 0.024
H 0.436 0.386 0.447
CELL_PARAMETERS angstrom
3.588 -0.001 0.000
-0.001 6.349 -0.022
-1.794 -3.148 7.030
```

Properties
**Excess energy over the best structure of this formula in the dataset**: 0 meV per atom
**DFT total energy**: -4.39 eV per atom
**Total magnetic moment**: 0.000 μB/atom

=====

# 6
This record from the Alexandria database describes crystalline Er3GaH at its relaxed geometry. The functional is GGA-PBE. Values from VASP.

The structure in Quantum ESPRESSO input format:
```
&SYSTEM
  ibrav = 0, nat = 5, ntyp = 3
/
ATOMIC_SPECIES
H 1.01 H.upf
Ga 69.72 Ga.upf
Er 167.26 Er.upf
ATOMIC_POSITIONS crystal
H 0.000 0.000 0.000
Ga 0.500 0.500 0.500
Er 0.000 0.500 0.000
Er 0.000 0.000 0.500
Er 0.500 0.000 0.000
CELL_PARAMETERS angstrom
4.693 0.000 0.000
0.000 4.693 0.000
0.000 0.000 4.693
```

Properties
**Excess energy over the best structure of this formula in the dataset**: 18 meV per atom
**DFT total energy**: -4.33 eV per atom
**Total magnetic moment**: 0.259 μB/atom